DFT (PBE-GGA) results for a geometry-optimized Er4Zn3Ag structure.

As for the formation energy: -0.348 eV/atom. The raw total energy is -27.71 eV/f.u. As for the volume: 179.2 Å³ per cell. The energy above the most stable polymorph in this dataset comes out at 0 meV/atom.

Geometry as extended XYZ:
```
8
Lattice="3.554 0.000 0.000 0.000 3.554 0.000 0.000 0.000 14.190" Properties=species:S:1:pos:R:3 pbc="T T T"
Er 0.000 0.000 1.749
Er 0.000 0.000 5.251
Er 0.000 0.000 8.938
Er 0.000 0.000 12.441
Zn 1.777 1.777 0.000
Zn 1.777 1.777 3.484
Zn 1.777 1.777 10.705
Ag 1.777 1.777 7.095
```

=====

DFT (PBE-GGA) results for a geometry-optimized Tb5Y2Ho5 structure.

As for the formation energy: 0.019 eV/atom. The raw total energy is -58.74 eV/f.u. As for the volume: 378.7 Å³ per cell.

Geometry as extended XYZ:
```
12
Lattice="9.227 -1.771 0.000 9.227 1.771 0.000 -2.023 0.000 11.586" Properties=species:S:1:pos:R:3 pbc="T T T"
Tb 0.000 0.000 0.000
Tb 0.032 0.000 8.692
Tb 2.068 0.000 5.809
Tb 14.364 0.000 5.777
Tb 16.400 0.000 2.894
Y 6.168 0.000 8.687
Y 10.264 0.000 2.899
Ho 4.111 0.000 2.887
Ho 6.145 0.000 0.001
Ho 8.216 0.000 5.793
Ho 10.287 0.000 11.585
Ho 12.321 0.000 8.700
```

=====

Please write out number 1 again, unchanged.
DFT (PBE-GGA) results for a geometry-optimized Er4Zn3Ag structure.

As for the formation energy: -0.348 eV/atom. The raw total energy is -27.71 eV/f.u. As for the volume: 179.2 Å³ per cell. The energy above the most stable polymorph in this dataset comes out at 0 meV/atom.

Geometry as extended XYZ:
```
8
Lattice="3.554 0.000 0.000 0.000 3.554 0.000 0.000 0.000 14.190" Properties=species:S:1:pos:R:3 pbc="T T T"
Er 0.000 0.000 1.749
Er 0.000 0.000 5.251
Er 0.000 0.000 8.938
Er 0.000 0.000 12.441
Zn 1.777 1.777 0.000
Zn 1.777 1.777 3.484
Zn 1.777 1.777 10.705
Ag 1.777 1.777 7.095
```